Entry one
Here is a relaxed structure of Fe3SbW from Alexandria via LeMat-Bulk. Energies are from PBE.

Unit cell a=4.5789 b=4.5789 c=4.5789 alpha=90.00 beta=90.00 gamma=90.00
Fractional coordinates of all 5 atoms:
Fe: 0.0000 0.0000 0.5000
Fe: 0.0000 0.5000 0.0000
Fe: 0.5000 0.0000 0.0000
Sb: 0.0000 0.0000 0.0000
W: 0.5000 0.5000 0.5000

Symmetry = Pm-3m (221)
Crystal system = cubic

Entry two
Here is a relaxed structure of Fe3SbW from Alexandria via LeMat-Bulk. Energies are from PBE.

Unit cell a=4.5535 b=4.5535 c=4.5535 alpha=90.00 beta=90.00 gamma=90.00
Fractional coordinates of all 5 atoms:
Fe: 0.0000 0.0000 0.5000
Fe: 0.0000 0.5000 0.0000
Fe: 0.5000 0.0000 0.0000
Sb: 0.5000 0.5000 0.5000
W: 0.0000 0.0000 0.0000

Symmetry = Pm-3m (221)
Crystal system = cubic

Which is most stable, and by how much? entry two, by 444 meV per atom.